# 1
Entry from Alexandria via LeMat-Bulk: a geometry-optimized SbPbS2 structure (PBE).

Cell and atoms, written as CIF:
```
data_SbPbS2
_chemical_formula_sum 'Sb2 Pb2 S4'
_symmetry_space_group_name_H-M 'P 1'
_symmetry_Int_Tables_number 1
_symmetry_space_group_name_Hall 'P 1'
_cell_length_a 5.705
_cell_length_b 5.705
_cell_length_c 8.757
_cell_angle_alpha 70.99
_cell_angle_beta 70.99
_cell_angle_gamma 90.00
loop_
_atom_site_label
_atom_site_type_symbol
_atom_site_fract_x
_atom_site_fract_y
_atom_site_fract_z
Pb1 Pb 0.000 0.000 0.000
Pb2 Pb 0.750 0.250 0.500
Sb1 Sb 0.500 0.500 0.000
Sb2 Sb 0.250 0.750 0.500
S1 S 0.593 0.125 0.250
S2 S 0.157 0.625 0.250
S3 S 0.375 0.407 0.750
S4 S 0.875 0.843 0.750
```

ΔE_f (raw)   -66 meV/atom
ρ   5.16 g/cm3



# 2
Entry from Alexandria via LeMat-Bulk: a geometry-optimized La2SiTcPb structure (PBE).

Cell and atoms, written as CIF:
```
data_La2SiTcPb
_chemical_formula_sum 'La2 Si1 Tc1 Pb1'
_symmetry_space_group_name_H-M 'P 1'
_symmetry_Int_Tables_number 1
_symmetry_space_group_name_Hall 'P 1'
_cell_length_a 5.977
_cell_length_b 5.001
_cell_length_c 5.977
_cell_angle_alpha 90.00
_cell_angle_beta 90.00
_cell_angle_gamma 90.00
loop_
_atom_site_label
_atom_site_type_symbol
_atom_site_fract_x
_atom_site_fract_y
_atom_site_fract_z
Pb1 Pb 0.000 0.000 0.000
Si1 Si 0.500 0.500 0.500
Tc1 Tc 0.000 0.500 0.000
La1 La 0.000 0.000 0.500
La2 La 0.500 0.000 0.000
```

E above lowest polymorph   1.0498 eV/atom
ΔE_f (raw)   1002 meV/atom
ρ   5.68 g/cm3



# 3
Entry from Alexandria via LeMat-Bulk: a geometry-optimized SiNO2 structure (PBE).

Cell and atoms, written as CIF:
```
data_SiNO2
_chemical_formula_sum 'Si1 N1 O2'
_symmetry_space_group_name_H-M 'P 1'
_symmetry_Int_Tables_number 1
_symmetry_space_group_name_Hall 'P 1'
_cell_length_a 7.320
_cell_length_b 7.320
_cell_length_c 7.320
_cell_angle_alpha 20.61
_cell_angle_beta 20.61
_cell_angle_gamma 20.61
loop_
_atom_site_label
_atom_site_type_symbol
_atom_site_fract_x
_atom_site_fract_y
_atom_site_fract_z
Si1 Si 0.500 0.500 0.500
O1 O 0.877 0.877 0.877
O2 O 0.123 0.123 0.123
N1 N 0.000 0.000 0.000
```

E above lowest polymorph   1.3837 eV/atom
ΔE_f (raw)   -440 meV/atom
ρ   2.89 g/cm3



# 4
Entry from Alexandria via LeMat-Bulk: a geometry-optimized HoEr2In structure (PBE).

Cell and atoms, written as CIF:
```
data_HoEr2In
_chemical_formula_sum 'Ho1 Er2 In1'
_symmetry_space_group_name_H-M 'P 1'
_symmetry_Int_Tables_number 1
_symmetry_space_group_name_Hall 'P 1'
_cell_length_a 3.453
_cell_length_b 3.453
_cell_length_c 11.975
_cell_angle_alpha 81.71
_cell_angle_beta 81.71
_cell_angle_gamma 60.00
loop_
_atom_site_label
_atom_site_type_symbol
_atom_site_fract_x
_atom_site_fract_y
_atom_site_fract_z
In1 In 0.500 0.500 0.500
Ho1 Ho 0.000 0.000 0.000
Er1 Er 0.095 0.095 0.714
Er2 Er 0.905 0.905 0.286
```

Formation energy from the elements   0.09 eV/atom
E above lowest polymorph   0.3497 eV/atom
ρ   8.37 g/cm3



# 5
Entry from Alexandria via LeMat-Bulk: a geometry-optimized Pa2Be4AlIr3 structure (PBE).

Cell and atoms, written as CIF:
```
data_Pa2Be4AlIr3
_chemical_formula_sum 'Pa2 Be4 Al1 Ir3'
_symmetry_space_group_name_H-M 'P 1'
_symmetry_Int_Tables_number 1
_symmetry_space_group_name_Hall 'P 1'
_cell_length_a 3.806
_cell_length_b 3.806
_cell_length_c 10.395
_cell_angle_alpha 90.00
_cell_angle_beta 90.00
_cell_angle_gamma 90.00
loop_
_atom_site_label
_atom_site_type_symbol
_atom_site_fract_x
_atom_site_fract_y
_atom_site_fract_z
Pa1 Pa 0.500 0.000 0.245
Pa2 Pa 0.000 0.500 0.755
Be1 Be 0.500 0.500 0.000
Be2 Be 0.000 0.000 0.000
Be3 Be 0.500 0.000 0.635
Be4 Be 0.000 0.500 0.365
Al1 Al 0.500 0.500 0.500
Ir1 Ir 0.000 0.000 0.500
Ir2 Ir 0.500 0.000 0.864
Ir3 Ir 0.000 0.500 0.136
```

Formation energy from the elements   -0.55 eV/atom
ρ   12.15 g/cm3



# 6
Entry from Alexandria via LeMat-Bulk: a geometry-optimized LiTe structure (PBE).

Cell and atoms, written as CIF:
```
data_LiTe
_chemical_formula_sum 'Li8 Te8'
_symmetry_space_group_name_H-M 'P 1'
_symmetry_Int_Tables_number 1
_symmetry_space_group_name_Hall 'P 1'
_cell_length_a 8.308
_cell_length_b 6.082
_cell_length_c 8.550
_cell_angle_alpha 90.00
_cell_angle_beta 90.00
_cell_angle_gamma 90.00
loop_
_atom_site_label
_atom_site_type_symbol
_atom_site_fract_x
_atom_site_fract_y
_atom_site_fract_z
Li1 Li 0.632 0.974 0.632
Li2 Li 0.132 0.526 0.368
Li3 Li 0.368 0.474 0.868
Li4 Li 0.868 0.026 0.132
Li5 Li 0.368 0.026 0.368
Li6 Li 0.868 0.474 0.632
Li7 Li 0.632 0.526 0.132
Li8 Li 0.132 0.974 0.868
Te1 Te 0.108 0.155 0.565
Te2 Te 0.608 0.345 0.435
Te3 Te 0.892 0.655 0.935
Te4 Te 0.392 0.845 0.065
Te5 Te 0.892 0.845 0.435
Te6 Te 0.392 0.655 0.565
Te7 Te 0.108 0.345 0.065
Te8 Te 0.608 0.155 0.935
```

E above lowest polymorph   0.0002 eV/atom
ΔE_f (raw)   -721 meV/atom
ρ   4.14 g/cm3



# 7
Entry from Alexandria via LeMat-Bulk: a geometry-optimized Pr6SmEr2 structure (PBE).

Cell and atoms, written as CIF:
```
data_Pr6SmEr2
_chemical_formula_sum 'Pr12 Sm2 Er4'
_symmetry_space_group_name_H-M 'P 1'
_symmetry_Int_Tables_number 1
_symmetry_space_group_name_Hall 'P 1'
_cell_length_a 8.333
_cell_length_b 8.333
_cell_length_c 10.569
_cell_angle_alpha 90.00
_cell_angle_beta 90.00
_cell_angle_gamma 90.00
loop_
_atom_site_label
_atom_site_type_symbol
_atom_site_fract_x
_atom_site_fract_y
_atom_site_fract_z
Pr1 Pr 0.261 0.261 0.334
Pr2 Pr 0.739 0.739 0.334
Pr3 Pr 0.239 0.761 0.834
Pr4 Pr 0.761 0.239 0.834
Pr5 Pr 0.239 0.761 0.166
Pr6 Pr 0.761 0.239 0.166
Pr7 Pr 0.261 0.261 0.666
Pr8 Pr 0.739 0.739 0.666
Pr9 Pr 0.261 0.261 0.000
Pr10 Pr 0.739 0.739 0.000
Pr11 Pr 0.239 0.761 0.500
Pr12 Pr 0.761 0.239 0.500
Sm1 Sm 0.000 0.000 0.000
Sm2 Sm 0.500 0.500 0.500
Er1 Er 0.000 0.000 0.336
Er2 Er 0.500 0.500 0.836
Er3 Er 0.500 0.500 0.164
Er4 Er 0.000 0.000 0.664
```

Formation energy from the elements   0.59 eV/atom
E above lowest polymorph   0.5340 eV/atom
ρ   6.02 g/cm3



# 8
Entry from Alexandria via LeMat-Bulk: a geometry-optimized CdGa2FeSn structure (PBE).

Cell and atoms, written as CIF:
```
data_CdGa2FeSn
_chemical_formula_sum 'Cd1 Ga2 Fe1 Sn1'
_symmetry_space_group_name_H-M 'P 1'
_symmetry_Int_Tables_number 1
_symmetry_space_group_name_Hall 'P 1'
_cell_length_a 4.679
_cell_length_b 4.679
_cell_length_c 4.933
_cell_angle_alpha 90.00
_cell_angle_beta 90.00
_cell_angle_gamma 90.00
loop_
_atom_site_label
_atom_site_type_symbol
_atom_site_fract_x
_atom_site_fract_y
_atom_site_fract_z
Fe1 Fe 0.000 0.000 0.000
Sn1 Sn 0.000 0.000 0.500
Ga1 Ga 0.000 0.500 0.000
Ga2 Ga 0.500 0.000 0.000
Cd1 Cd 0.500 0.500 0.500
```

Formation energy from the elements   0.06 eV/atom
ρ   6.56 g/cm3



# 9
Entry from Alexandria via LeMat-Bulk: a geometry-optimized NbZnCd2Rh structure (PBE).

Cell and atoms, written as CIF:
```
data_NbZnCd2Rh
_chemical_formula_sum 'Nb1 Zn1 Cd2 Rh1'
_symmetry_space_group_name_H-M 'P 1'
_symmetry_Int_Tables_number 1
_symmetry_space_group_name_Hall 'P 1'
_cell_length_a 4.718
_cell_length_b 4.607
_cell_length_c 4.718
_cell_angle_alpha 90.00
_cell_angle_beta 90.00
_cell_angle_gamma 90.00
loop_
_atom_site_label
_atom_site_type_symbol
_atom_site_fract_x
_atom_site_fract_y
_atom_site_fract_z
Nb1 Nb 0.500 0.500 0.500
Rh1 Rh 0.000 0.500 0.000
Zn1 Zn 0.000 0.000 0.000
Cd1 Cd 0.000 0.000 0.500
Cd2 Cd 0.500 0.000 0.000
```

Formation energy from the elements   0.89 eV/atom
ρ   7.87 g/cm3



# 10
Entry from Alexandria via LeMat-Bulk: a geometry-optimized Pm2CuCl structure (PBE).

Cell and atoms, written as CIF:
```
data_Pm2CuCl
_chemical_formula_sum 'Pm2 Cu1 Cl1'
_symmetry_space_group_name_H-M 'P 1'
_symmetry_Int_Tables_number 1
_symmetry_space_group_name_Hall 'P 1'
_cell_length_a 4.004
_cell_length_b 4.004
_cell_length_c 7.810
_cell_angle_alpha 75.15
_cell_angle_beta 75.15
_cell_angle_gamma 60.00
loop_
_atom_site_label
_atom_site_type_symbol
_atom_site_fract_x
_atom_site_fract_y
_atom_site_fract_z
Pm1 Pm 0.074 0.074 0.778
Pm2 Pm 0.260 0.260 0.221
Cu1 Cu 0.668 0.668 0.997
Cl1 Cl 0.498 0.498 0.505
```

E above lowest polymorph   0.0482 eV/atom
ΔE_f (raw)   -722 meV/atom
ρ   6.24 g/cm3



# 11
Entry from Alexandria via LeMat-Bulk: a geometry-optimized MgRhC2O structure (PBE).

Cell and atoms, written as CIF:
```
data_MgRhC2O
_chemical_formula_sum 'Mg1 Rh1 C2 O1'
_symmetry_space_group_name_H-M 'P 1'
_symmetry_Int_Tables_number 1
_symmetry_space_group_name_Hall 'P 1'
_cell_length_a 3.894
_cell_length_b 4.855
_cell_length_c 3.894
_cell_angle_alpha 90.00
_cell_angle_beta 90.00
_cell_angle_gamma 90.00
loop_
_atom_site_label
_atom_site_type_symbol
_atom_site_fract_x
_atom_site_fract_y
_atom_site_fract_z
Mg1 Mg 0.000 0.000 0.000
Rh1 Rh 0.000 0.500 0.000
C1 C 0.000 0.000 0.500
C2 C 0.500 0.000 0.000
O1 O 0.500 0.500 0.500
```

ΔE_f (raw)   2828 meV/atom
ρ   3.77 g/cm3



# 12
Entry from Alexandria via LeMat-Bulk: a geometry-optimized MgAlW structure (PBE).

Cell and atoms, written as CIF:
```
data_MgAlW
_chemical_formula_sum 'Mg1 Al1 W1'
_symmetry_space_group_name_H-M 'P 1'
_symmetry_Int_Tables_number 1
_symmetry_space_group_name_Hall 'P 1'
_cell_length_a 7.156
_cell_length_b 7.019
_cell_length_c 2.778
_cell_angle_alpha 81.48
_cell_angle_beta 75.94
_cell_angle_gamma 22.58
loop_
_atom_site_label
_atom_site_type_symbol
_atom_site_fract_x
_atom_site_fract_y
_atom_site_fract_z
Al1 Al 0.992 0.992 0.008
Mg1 Mg 0.669 0.669 0.331
W1 W 0.339 0.339 0.661
```

Formation energy from the elements   0.18 eV/atom
E above lowest polymorph   0.0000 eV/atom
ρ   7.67 g/cm3